Entry 1:
## TlNiRh2 (PBE)

Data for a relaxed structure of TlNiRh2.

Values from the calculation:
The formation enthalpy at 0 K comes out at 0.2137 eV per atom.

Structure (CIF):
```
data_TlNiRh2
_chemical_formula_sum 'Tl2 Ni2 Rh4'
_cell_length_a 9.006
_cell_length_b 2.949
_cell_length_c 4.799
_cell_angle_alpha 90.00
_cell_angle_beta 101.43
_cell_angle_gamma 90.00
_space_group_name_H-M_alt 'C 1 m 1'
_space_group_IT_number 8
_space_group_name_Hall 'C -2y'
loop_
_atom_site_label
_atom_site_type_symbol
_atom_site_fract_x
_atom_site_fract_y
_atom_site_fract_z
Tl1 Tl 0.000 0.000 0.000
Ni1 Ni 0.248 0.000 0.736
Rh1 Rh 0.005 0.500 0.509
Rh2 Rh 0.257 0.500 0.292
```

Entry 2:
## Er6Ge2Te3S (PBE)

Data for a relaxed structure of Er6Ge2Te3S.

Values from the calculation:
Its uncorrected formation energy is -15.930 eV per formula unit.

Structure (CIF):
```
data_Er6Ge2Te3S
_chemical_formula_sum 'Er12 Ge4 Te6 S2'
_cell_length_a 18.414
_cell_length_b 4.157
_cell_length_c 8.468
_cell_angle_alpha 90.00
_cell_angle_beta 105.13
_cell_angle_gamma 90.00
_space_group_name_H-M_alt 'C 1 2/m 1'
_space_group_IT_number 12
_space_group_name_Hall '-C 2y'
loop_
_atom_site_label
_atom_site_type_symbol
_atom_site_fract_x
_atom_site_fract_y
_atom_site_fract_z
Er1 Er 0.009 0.000 0.230
Er2 Er 0.159 0.500 0.101
Er3 Er 0.173 0.500 0.563
Ge1 Ge 0.166 0.000 0.329
Te1 Te 0.000 0.500 0.500
Te2 Te 0.165 0.000 0.833
S1 S 0.000 0.500 0.000
```

Number 1: volume 15.62 Å³ per atom. Number 2: volume 26.07 Å³ per atom.